No. 1
The following is a DFT calculation (PBE) of a relaxed structure of LiSc2Al2CuAu2.

Cell and atoms, written as POSCAR:
```
LiSc2Al2CuAu2
1.0
4.547 0.000 0.000
0.000 4.547 0.000
0.000 0.000 6.434
Li Sc Al Cu Au
1 2 2 1 2
Direct
0.000 0.000 0.000
0.000 0.500 0.746
0.500 0.000 0.254
0.000 0.500 0.256
0.500 0.000 0.744
0.500 0.500 0.500
0.000 0.000 0.500
0.500 0.500 0.000
```

Output
* space group: P-4m2 (115)
* electronic total energy: -0.170 hartree per atom

No. 2
The following is a DFT calculation (PBE) of a relaxed structure of NaNbF3.

Cell and atoms, written as POSCAR:
```
NaNbF3
1.0
4.223 0.000 0.000
0.000 4.223 0.000
0.000 0.000 4.281
Na Nb F
1 1 3
Direct
0.000 0.000 0.000
0.500 0.500 0.608
0.000 0.500 0.706
0.500 0.000 0.706
0.500 0.500 0.106
```

Output
* space group: P4mm (99)
* relative energy among the computed polymorphs: 102 meV/atom

No. 3
The following is a DFT calculation (PBE) of a relaxed structure of Zr2Be3.

Cell and atoms, written as POSCAR:
```
Zr2Be3
1.0
2.227 -4.614 0.000
2.227 4.614 0.000
0.000 0.000 6.918
Zr Be
4 6
Direct
0.164 0.836 0.900
0.336 0.664 0.400
0.664 0.336 0.600
0.836 0.164 0.100
0.000 0.000 0.500
0.166 0.334 0.750
0.334 0.166 0.250
0.500 0.500 0.000
0.666 0.834 0.750
0.834 0.666 0.250
```

Output
* space group: Cmce (64)
* electronic total energy: -0.213 hartree per atom

No. 4
The following is a DFT calculation (PBE) of a relaxed structure of NaSnAu3S4.

Cell and atoms, written as POSCAR:
```
NaSnAu3S4
1.0
6.220 0.000 0.000
0.000 6.220 0.000
0.000 0.000 6.220
Na Sn Au S
1 1 3 4
Direct
0.000 0.000 0.000
0.500 0.500 0.500
0.000 0.500 0.500
0.500 0.000 0.500
0.500 0.500 0.000
0.272 0.272 0.272
0.272 0.728 0.728
0.728 0.272 0.728
0.728 0.728 0.272
```

Output
* space group: P-43m (215)
* relative energy among the computed polymorphs: 149 meV/atom

No. 5
The following is a DFT calculation (PBE) of a relaxed structure of CsYZnSe3.

Cell and atoms, written as POSCAR:
```
CsYZnSe3
1.0
2.085 -8.147 0.000
2.085 8.147 0.000
0.000 0.000 11.008
Cs Y Zn Se
2 2 2 6
Direct
0.245 0.755 0.750
0.755 0.245 0.250
0.500 0.500 0.000
0.500 0.500 0.500
0.036 0.964 0.250
0.964 0.036 0.750
0.116 0.884 0.060
0.116 0.884 0.440
0.443 0.557 0.250
0.557 0.443 0.750
0.884 0.116 0.560
0.884 0.116 0.940
```

Output
* space group: Cmcm (63)
* electronic total energy: -0.169 hartree per atom

No. 6
The following is a DFT calculation (PBE) of a relaxed structure of SrGa2Pt2.

Cell and atoms, written as POSCAR:
```
SrGa2Pt2
1.0
4.287 0.000 0.000
0.000 4.287 0.000
0.000 0.000 11.135
Sr Ga Pt
2 4 4
Direct
0.000 0.000 0.000
0.500 0.500 0.500
0.000 0.500 0.250
0.000 0.500 0.750
0.500 0.000 0.250
0.500 0.000 0.750
0.000 0.000 0.377
0.000 0.000 0.623
0.500 0.500 0.123
0.500 0.500 0.877
```

Output
* space group: I4/mmm (139)
* electronic total energy: -0.176 hartree per atom

No. 7
The following is a DFT calculation (PBE) of a relaxed structure of HoNb2O4.

Cell and atoms, written as POSCAR:
```
HoNb2O4
1.0
0.000 4.535 4.535
4.535 0.000 4.535
4.535 4.535 0.000
Ho Nb O
2 4 8
Direct
0.125 0.125 0.125
0.875 0.875 0.875
0.000 0.500 0.500
0.500 0.000 0.500
0.500 0.500 0.000
0.500 0.500 0.500
0.257 0.257 0.257
0.257 0.257 0.729
0.257 0.729 0.257
0.271 0.743 0.743
0.729 0.257 0.257
0.743 0.271 0.743
0.743 0.743 0.271
0.743 0.743 0.743
```

Output
* space group: Fd-3m (227)
* electronic total energy: -0.315 hartree per atom

No. 8
The following is a DFT calculation (PBE) of a relaxed structure of TlFeMo4C2.

Cell and atoms, written as POSCAR:
```
TlFeMo4C2
1.0
3.086 0.000 0.000
-1.543 2.672 0.000
0.000 0.000 13.617
Tl Fe Mo C
1 1 4 2
Direct
0.000 0.000 0.000
0.333 0.667 0.500
0.000 0.000 0.352
0.000 0.000 0.648
0.333 0.667 0.183
0.333 0.667 0.817
0.667 0.333 0.266
0.667 0.333 0.734
```

Output
* space group: P-6m2 (187)
* electronic total energy: -0.327 hartree per atom

No. 9
The following is a DFT calculation (PBE) of a relaxed structure of LiCoTcSb.

Cell and atoms, written as POSCAR:
```
LiCoTcSb
1.0
6.096 0.000 0.000
0.000 6.096 0.000
0.000 0.000 6.096
Li Co Tc Sb
4 4 4 4
Direct
0.000 0.000 0.000
0.000 0.500 0.500
0.500 0.000 0.500
0.500 0.500 0.000
0.250 0.250 0.750
0.250 0.750 0.250
0.750 0.250 0.250
0.750 0.750 0.750
0.250 0.250 0.250
0.250 0.750 0.750
0.750 0.250 0.750
0.750 0.750 0.250
0.000 0.000 0.500
0.000 0.500 0.000
0.500 0.000 0.000
0.500 0.500 0.500
```

Output
* space group: F-43m (216)
* relative energy among the computed polymorphs: 0 meV/atom

No. 10
The following is a DFT calculation (PBE) of a relaxed structure of Hf4AlBiC2.

Cell and atoms, written as POSCAR:
```
Hf4AlBiC2
1.0
3.347 0.000 0.000
-1.674 2.899 0.000
0.000 0.000 14.407
Hf Al Bi C
4 1 1 2
Direct
0.000 0.000 0.160
0.000 0.000 0.840
0.667 0.333 0.329
0.667 0.333 0.671
0.667 0.333 0.000
0.000 0.000 0.500
0.333 0.667 0.246
0.333 0.667 0.754
```

Output
* space group: P-6m2 (187)
* electronic total energy: -0.327 hartree per atom

No. 11
The following is a DFT calculation (PBE) of a relaxed structure of PrBePt.

Cell and atoms, written as POSCAR:
```
PrBePt
1.0
6.711 0.000 0.000
0.000 6.711 0.000
0.000 0.000 6.711
Pr Be Pt
4 4 4
Direct
0.000 0.000 0.000
0.000 0.500 0.500
0.500 0.000 0.500
0.500 0.500 0.000
0.250 0.250 0.750
0.250 0.750 0.250
0.750 0.250 0.250
0.750 0.750 0.750
0.250 0.250 0.250
0.250 0.750 0.750
0.750 0.250 0.750
0.750 0.750 0.250
```

Output
* space group: F-43m (216)
* relative energy among the computed polymorphs: 590 meV/atom

No. 12
The following is a DFT calculation (PBE) of a relaxed structure of LiErNO.

Cell and atoms, written as POSCAR:
```
LiErNO
1.0
6.431 0.000 0.000
0.000 5.768 0.000
0.000 0.000 4.559
Li Er N O
4 4 4 4
Direct
0.102 0.022 0.250
0.102 0.478 0.750
0.898 0.522 0.250
0.898 0.978 0.750
0.296 0.022 0.750
0.296 0.478 0.250
0.704 0.522 0.750
0.704 0.978 0.250
0.051 0.750 0.000
0.051 0.750 0.500
0.949 0.250 0.000
0.949 0.250 0.500
0.383 0.096 0.250
0.383 0.404 0.750
0.617 0.596 0.250
0.617 0.904 0.750
```

Output
* space group: Pbcm (57)
* relative energy among the computed polymorphs: 0 meV/atom

No. 13
The following is a DFT calculation (PBE) of a relaxed structure of Ho2Tc2O5.

Cell and atoms, written as POSCAR:
```
Ho2Tc2O5
1.0
3.567 0.000 0.000
0.000 3.567 0.000
0.000 0.000 9.347
Ho Tc O
2 2 5
Direct
0.000 0.000 0.242
0.000 0.000 0.758
0.500 0.500 0.000
0.500 0.500 0.500
0.000 0.000 0.000
0.000 0.500 0.374
0.000 0.500 0.626
0.500 0.000 0.374
0.500 0.000 0.626
```

Output
* space group: P4/mmm (123)
* relative energy among the computed polymorphs: 290 meV/atom

No. 14
The following is a DFT calculation (PBE) of a relaxed structure of NaPPdSe4.

Cell and atoms, written as POSCAR:
```
NaPPdSe4
1.0
-3.805 3.805 6.580
3.805 -3.805 6.580
3.805 3.805 -6.580
Na P Pd Se
2 2 2 8
Direct
0.250 0.250 0.000
0.750 0.750 0.000
0.250 0.750 0.500
0.750 0.250 0.500
0.000 0.500 0.500
0.500 0.000 0.500
0.018 0.518 0.813
0.206 0.018 0.500
0.294 0.794 0.813
0.482 0.294 0.500
0.518 0.706 0.500
0.706 0.206 0.187
0.794 0.982 0.500
0.982 0.482 0.187
```

Output
* space group: I4/mcm (140)
* electronic total energy: -0.152 hartree per atom

No. 15
The following is a DFT calculation (PBE) of a relaxed structure of Ba7Fe4Ge9.

Cell and atoms, written as POSCAR:
```
Ba7Fe4Ge9
1.0
0.000 12.254 4.415
5.204 0.000 4.415
5.204 12.254 0.000
Ba Fe Ge
7 4 9
Direct
0.000 0.000 0.000
0.001 0.659 0.791
0.078 0.078 0.422
0.209 0.451 0.999
0.451 0.209 0.341
0.578 0.578 0.922
0.659 0.001 0.549
0.022 0.637 0.363
0.552 0.663 0.337
0.637 0.022 0.978
0.663 0.552 0.448
0.116 0.539 0.461
0.217 0.917 0.083
0.382 0.382 0.618
0.422 0.797 0.578
0.433 0.738 0.262
0.539 0.116 0.884
0.738 0.433 0.567
0.797 0.422 0.203
0.917 0.217 0.783
```

Output
* space group: Fmm2 (42)
* electronic total energy: -0.174 hartree per atom

No. 16
The following is a DFT calculation (PBE) of a relaxed structure of CdCoSbPt.

Cell and atoms, written as POSCAR:
```
CdCoSbPt
1.0
6.513 0.000 0.000
0.000 6.513 0.000
0.000 0.000 6.513
Cd Co Sb Pt
4 4 4 4
Direct
0.000 0.000 0.000
0.000 0.500 0.500
0.500 0.000 0.500
0.500 0.500 0.000
0.250 0.250 0.750
0.250 0.750 0.250
0.750 0.250 0.250
0.750 0.750 0.750
0.000 0.000 0.500
0.000 0.500 0.000
0.500 0.000 0.000
0.500 0.500 0.500
0.250 0.250 0.250
0.250 0.750 0.750
0.750 0.250 0.750
0.750 0.750 0.250
```

Output
* space group: F-43m (216)
* relative energy among the computed polymorphs: 0 meV/atom

No. 17
The following is a DFT calculation (PBE) of a relaxed structure of RbCo3Pb5.

Cell and atoms, written as POSCAR:
```
RbCo3Pb5
1.0
5.466 0.000 0.000
-2.733 4.733 0.000
0.000 0.000 9.007
Rb Co Pb
1 3 5
Direct
0.000 0.000 0.000
0.000 0.500 0.500
0.500 0.000 0.500
0.500 0.500 0.500
0.000 0.000 0.500
0.333 0.667 0.254
0.333 0.667 0.746
0.667 0.333 0.254
0.667 0.333 0.746
```

Output
* space group: P6/mmm (191)
* electronic total energy: -0.161 hartree per atom

No. 18
The following is a DFT calculation (PBE) of a relaxed structure of GdDy2HoCd2.

Cell and atoms, written as POSCAR:
```
GdDy2HoCd2
1.0
5.377 0.000 0.000
0.000 3.673 0.000
0.000 0.000 17.005
Gd Dy Ho Cd
2 4 2 4
Direct
0.000 0.000 0.000
0.000 0.500 0.500
0.000 0.000 0.314
0.000 0.500 0.814
0.500 0.000 0.136
0.500 0.500 0.636
0.500 0.000 0.449
0.500 0.500 0.949
0.000 0.000 0.659
0.000 0.500 0.159
0.500 0.000 0.793
0.500 0.500 0.293
```

Output
* energy of formation from the pure elements: -0.23 eV/atom
* space group: Amm2 (38)

No. 19
The following is a DFT calculation (PBE) of a relaxed structure of ErTeAuO.

Cell and atoms, written as POSCAR:
```
ErTeAuO
1.0
20.668 0.000 0.000
0.000 2.831 2.831
0.000 -2.831 2.831
Er Te Au O
4 4 4 4
Direct
0.051 0.250 0.750
0.449 0.750 0.250
0.551 0.250 0.750
0.949 0.750 0.250
0.138 0.749 0.252
0.362 0.249 0.752
0.638 0.752 0.249
0.862 0.252 0.749
0.250 0.001 0.006
0.250 0.501 0.506
0.750 0.006 0.001
0.750 0.506 0.501
0.000 0.250 0.250
0.000 0.750 0.750
0.500 0.250 0.250
0.500 0.750 0.750
```

Output
* space group: Aea2 (41)
* relative energy among the computed polymorphs: 0 meV/atom

No. 20
The following is a DFT calculation (PBE) of a relaxed structure of TmHfHgC.

Cell and atoms, written as POSCAR:
```
TmHfHgC
1.0
3.401 0.000 0.000
-1.700 2.945 0.000
0.000 0.000 15.275
Tm Hf Hg C
2 2 2 2
Direct
0.333 0.667 0.411
0.667 0.333 0.589
0.333 0.667 0.079
0.667 0.333 0.921
0.333 0.667 0.762
0.667 0.333 0.238
0.000 0.000 0.000
0.000 0.000 0.500
```

Output
* space group: P-3m1 (164)
* relative energy among the computed polymorphs: 36 meV/atom